Compound: Pm6Pb2N
Source: the Alexandria database
Functional: PBE
Structure: relaxed

abc: 3.500 10.235 8.921
angles: 125.01 90.00 90.00
Sites, in units of the cell vectors:
Pm 0.500 0.617 0.000
Pm 0.500 0.436 0.496
Pm 0.500 0.940 0.504
Pm 0.000 0.213 0.000
Pm 0.000 0.817 0.776
Pm 0.000 0.040 0.224
Pb 0.000 0.281 0.683
Pb 0.000 0.598 0.317
N 0.500 0.058 0.000

Output
spin magnetization	0.00	μB/cell
calculated total energy	-5.32	eV per atom

---

Compound: Nd3Al4Cu8
Source: the Alexandria database
Functional: PBE
Structure: relaxed

abc: 9.029 9.029 9.029
angles: 60.00 60.00 60.00
Sites, in units of the cell vectors:
Nd 0.735 0.735 0.265
Nd 0.265 0.265 0.735
Nd 0.735 0.265 0.265
Nd 0.265 0.735 0.735
Nd 0.735 0.265 0.735
Nd 0.265 0.735 0.265
Al 0.000 0.000 0.000
Al 0.500 0.500 0.000
Al 0.000 0.000 0.500
Al 0.500 0.000 0.000
Al 0.000 0.500 0.500
Al 0.500 0.000 0.500
Al 0.000 0.500 0.000
Al 0.500 0.500 0.500
Cu 0.608 0.131 0.131
Cu 0.392 0.869 0.869
Cu 0.131 0.131 0.608
Cu 0.131 0.131 0.131
Cu 0.869 0.869 0.392
Cu 0.869 0.869 0.869
Cu 0.131 0.608 0.131
Cu 0.869 0.392 0.869
Cu 0.019 0.327 0.327
Cu 0.981 0.673 0.673
Cu 0.327 0.327 0.019
Cu 0.327 0.327 0.327
Cu 0.673 0.673 0.981
Cu 0.673 0.673 0.673
Cu 0.327 0.019 0.327
Cu 0.673 0.981 0.673

Output
spin magnetization	0.00	μB/cell
formation energy	-4.02	eV per formula unit

---

Compound: Li2SiMo
Source: the Alexandria database
Functional: PBE
Structure: relaxed

abc: 3.532 3.532 4.477
angles: 90.00 90.00 90.00
Sites, in units of the cell vectors:
Li 0.000 0.000 0.000
Li 0.500 0.500 0.000
Mo 0.500 0.000 0.500
Si 0.000 0.500 0.500

Output
spin magnetization	0.00	μB/cell
calculated total energy	-5.05	eV per atom

---

Compound: LaHo14Tm
Source: the Alexandria database
Functional: PBE
Structure: relaxed

abc: 7.108 7.108 11.435
angles: 90.00 90.00 120.01
Sites, in units of the cell vectors:
La 0.708 0.292 0.500
Ho 0.042 0.958 0.000
Ho 0.542 0.458 0.000
Ho 0.208 0.292 0.500
Ho 0.043 0.459 0.000
Ho 0.708 0.792 0.500
Ho 0.541 0.957 0.000
Ho 0.374 0.124 0.753
Ho 0.374 0.124 0.247
Ho 0.876 0.626 0.753
Ho 0.876 0.626 0.247
Ho 0.375 0.625 0.749
Ho 0.375 0.625 0.251
Ho 0.875 0.125 0.753
Ho 0.875 0.125 0.247
Tm 0.208 0.792 0.500

Output
spin magnetization	0.00	μB/cell
formation energy	0.14	eV per formula unit

---

Compound: Rb3NaCe2S6
Source: the Alexandria database
Functional: PBE
Structure: relaxed

abc: 7.275 7.275 7.982
angles: 98.69 98.69 119.99
Sites, in units of the cell vectors:
Rb 0.157 0.843 0.500
Rb 0.843 0.157 0.500
Rb 0.500 0.500 0.500
Na 0.000 0.000 0.000
Ce 0.333 0.667 0.000
Ce 0.667 0.333 0.000
S 0.935 0.573 0.805
S 0.704 0.704 0.191
S 0.065 0.427 0.195
S 0.573 0.935 0.805
S 0.296 0.296 0.809
S 0.427 0.065 0.195

Output
spin magnetization	0.00	μB/cell
calculated total energy	-4.97	eV per atom

---

Compound: Nd2BiPt
Source: the Alexandria database
Functional: PBE
Structure: relaxed

abc: 4.418 4.418 7.658
angles: 73.24 73.24 60.00
Sites, in units of the cell vectors:
Nd 0.761 0.761 0.718
Nd 0.239 0.239 0.282
Bi 0.000 0.000 0.000
Pt 0.500 0.500 0.500

Output
spin magnetization	0.00	μB/cell
formation energy	-3.55	eV per formula unit

---

Compound: NdZr2VN4
Source: the Alexandria database
Functional: PBE
Structure: relaxed

abc: 3.287 5.939 11.207
angles: 90.00 90.00 106.07
Sites, in units of the cell vectors:
Nd 0.096 0.192 0.750
Nd 0.904 0.808 0.250
Zr 0.369 0.738 0.543
Zr 0.631 0.262 0.043
Zr 0.631 0.262 0.457
Zr 0.369 0.738 0.957
V 0.835 0.669 0.750
V 0.165 0.331 0.250
N 0.264 0.529 0.118
N 0.736 0.471 0.618
N 0.736 0.471 0.882
N 0.264 0.529 0.382
N 0.000 0.000 0.500
N 0.000 0.000 0.000
N 0.431 0.863 0.750
N 0.569 0.137 0.250

Output
spin magnetization	0.00	μB/cell
calculated total energy	-9.41	eV per atom

---

Compound: NaSnAsCO7
Source: the Alexandria database
Functional: PBE
Structure: relaxed

abc: 6.810 5.424 9.677
angles: 89.77 90.00 90.00
Sites, in units of the cell vectors:
Na 0.509 0.819 0.843
Na 0.009 0.181 0.157
Sn 0.244 0.231 0.656
Sn 0.744 0.769 0.344
As 0.748 0.277 0.569
As 0.248 0.723 0.431
C 0.255 0.338 0.913
C 0.755 0.662 0.087
O 0.742 0.609 0.963
O 0.249 0.105 0.864
O 0.271 0.504 0.810
O 0.943 0.214 0.674
O 0.552 0.191 0.669
O 0.254 0.871 0.588
O 0.737 0.590 0.532
O 0.237 0.410 0.468
O 0.754 0.129 0.412
O 0.052 0.809 0.331
O 0.443 0.786 0.326
O 0.771 0.496 0.190
O 0.749 0.895 0.136
O 0.242 0.391 0.037

Output
spin magnetization	0.14	μB/cell
calculated total energy	-6.35	eV per atom

---

What did the eighth record say?
Compound: NaSnAsCO7
Source: the Alexandria database
Functional: PBE
Structure: relaxed

abc: 6.810 5.424 9.677
angles: 89.77 90.00 90.00
Sites, in units of the cell vectors:
Na 0.509 0.819 0.843
Na 0.009 0.181 0.157
Sn 0.244 0.231 0.656
Sn 0.744 0.769 0.344
As 0.748 0.277 0.569
As 0.248 0.723 0.431
C 0.255 0.338 0.913
C 0.755 0.662 0.087
O 0.742 0.609 0.963
O 0.249 0.105 0.864
O 0.271 0.504 0.810
O 0.943 0.214 0.674
O 0.552 0.191 0.669
O 0.254 0.871 0.588
O 0.737 0.590 0.532
O 0.237 0.410 0.468
O 0.754 0.129 0.412
O 0.052 0.809 0.331
O 0.443 0.786 0.326
O 0.771 0.496 0.190
O 0.749 0.895 0.136
O 0.242 0.391 0.037

Output
spin magnetization	0.14	μB/cell
calculated total energy	-6.35	eV per atom

---

Question: Number 2 is which compound?
Answer: Nd3Al4Cu8

---

Copy entry 6 word for word.
Compound: Nd2BiPt
Source: the Alexandria database
Functional: PBE
Structure: relaxed

abc: 4.418 4.418 7.658
angles: 73.24 73.24 60.00
Sites, in units of the cell vectors:
Nd 0.761 0.761 0.718
Nd 0.239 0.239 0.282
Bi 0.000 0.000 0.000
Pt 0.500 0.500 0.500

Output
spin magnetization	0.00	μB/cell
formation energy	-3.55	eV per formula unit